! PBE KMnIr, relaxed; values from VASP
&SYSTEM
  ibrav = 0, nat = 3, ntyp = 3
/
ATOMIC_SPECIES
K 39.10 K.upf
Mn 54.94 Mn.upf
Ir 192.22 Ir.upf
CELL_PARAMETERS angstrom
-1.420 2.003 5.988
1.420 -2.003 5.988
1.420 2.003 -5.988
ATOMIC_POSITIONS crystal
K 0.000 0.000 0.000
Mn 0.268 0.268 0.000
Ir 0.721 0.721 0.000
! Symmetry: No. 44
! Total moment: 3.65 μB per cell
! Relative energy among the computed polymorphs: 0.000 eV/f.u.

! PBE ZrCr2SiI, relaxed; values from VASP
&SYSTEM
  ibrav = 0, nat = 5, ntyp = 4
/
ATOMIC_SPECIES
Zr 91.22 Zr.upf
Cr 52.00 Cr.upf
Si 28.09 Si.upf
I 126.90 I.upf
CELL_PARAMETERS angstrom
4.744 0.000 0.000
0.000 4.744 0.000
0.000 0.000 5.191
ATOMIC_POSITIONS crystal
Zr 0.000 0.000 0.000
Cr 0.000 0.500 0.500
Cr 0.500 0.000 0.500
Si 0.000 0.000 0.500
I 0.500 0.500 0.000
! Symmetry: No. 123
! Total moment: 8.13 μB per cell
! Formation energy without anion corrections: 301 kJ/mol of formula units